Entry 1:
First-principles (GGA-PBE) data for crystalline Li2YPdC at its relaxed geometry, as listed in the Alexandria database.

Summary:
space-group type	P4/mmm
energy	-24.50	eV for the cell shown

Geometry as POSCAR:
```
Li2YPdC
1.0
4.210 0.000 0.000
0.000 4.210 0.000
0.000 0.000 4.690
Li Y Pd C
2 1 1 1
Cartesian
0.000 2.105 0.000
2.105 0.000 0.000
0.000 0.000 2.345
2.105 2.105 2.345
0.000 0.000 0.000
```


Entry 2:
First-principles (GGA-PBE) data for crystalline LiPmC at its relaxed geometry, as listed in the Alexandria database.

Summary:
space-group type	P-1
energy above the lowest structure with this stoichiometry	0.000	eV per atom
energy	-32.28	eV for the cell shown

Geometry as POSCAR:
```
LiPmC
1.0
3.616 0.000 0.000
-1.795 3.928 0.000
-0.015 -1.315 9.071
Li Pm C
2 2 2
Cartesian
-0.002 0.494 3.910
1.807 2.119 5.161
0.010 2.760 1.384
1.796 -0.147 7.686
0.003 0.583 0.347
1.802 2.030 8.723
```


Entry 3:
First-principles (GGA-PBE) data for crystalline LiPm3C at its relaxed geometry, as listed in the Alexandria database.

Summary:
space-group type	Pm-3m
energy	-25.12	eV for the cell shown

Geometry as POSCAR:
```
LiPm3C
1.0
5.128 0.000 0.000
0.000 5.128 0.000
0.000 0.000 5.128
Li Pm C
1 3 1
Cartesian
0.000 0.000 0.000
0.000 2.564 2.564
2.564 0.000 2.564
2.564 2.564 0.000
2.564 2.564 2.564
```


Entry 4:
First-principles (GGA-PBE) data for crystalline LiPmC at its relaxed geometry, as listed in the Alexandria database.

Summary:
space-group type	F-43m
energy above the lowest structure with this stoichiometry	0.076	eV per atom
energy	-63.65	eV for the cell shown

Geometry as POSCAR:
```
LiPmC
1.0
5.863 0.000 0.000
0.000 5.863 0.000
0.000 0.000 5.863
Li Pm C
4 4 4
Cartesian
0.000 0.000 0.000
0.000 2.931 2.931
2.931 0.000 2.931
2.931 2.931 0.000
0.000 0.000 2.931
0.000 2.931 0.000
2.931 0.000 0.000
2.931 2.931 2.931
1.466 1.466 4.397
1.466 4.397 1.466
4.397 1.466 1.466
4.397 4.397 4.397
```


Entry 5:
First-principles (GGA-PBE) data for crystalline LiPmC at its relaxed geometry, as listed in the Alexandria database.

Summary:
space-group type	Cmcm
energy above the lowest structure with this stoichiometry	0.210	eV per atom
energy	-62.04	eV for the cell shown

Geometry as POSCAR:
```
LiPmC
1.0
3.528 0.000 0.000
0.000 20.844 0.000
0.000 0.000 3.021
Li Pm C
4 4 4
Cartesian
0.000 4.343 0.755
0.000 16.501 2.266
1.764 6.079 2.266
1.764 14.765 0.755
0.000 8.855 0.755
0.000 11.989 2.266
1.764 1.567 2.266
1.764 19.277 0.755
0.000 0.385 0.755
0.000 20.459 2.266
1.764 10.037 2.266
1.764 10.807 0.755
```


Entry 6:
First-principles (GGA-PBE) data for crystalline LiPr2C at its relaxed geometry, as listed in the Alexandria database.

Summary:
space-group type	R-3m
energy	-62.09	eV for the cell shown

Geometry as POSCAR:
```
LiPr2C
1.0
3.669 0.000 0.000
-1.835 3.178 0.000
0.000 0.000 28.031
Li Pr C
3 6 3
Cartesian
0.000 0.000 0.000
0.000 2.118 18.687
1.835 1.059 9.344
0.000 0.000 6.118
0.000 0.000 21.913
0.000 2.118 12.570
0.000 2.118 24.805
1.835 1.059 3.226
1.835 1.059 15.461
0.000 0.000 14.015
0.000 2.118 4.672
1.835 1.059 23.359
```


Number 1: ΔH_f (0 K) 0.2 eV per formula unit. Number 2: ΔH_f (0 K) -0.3 eV per formula unit. Number 3: ΔH_f (0 K) 0.3 eV per formula unit. Number 4: ΔH_f (0 K) 0.0 eV per formula unit. Number 5: ΔH_f (0 K) 0.4 eV per formula unit. Number 6: ΔH_f (0 K) 0.0 eV per formula unit.